A plane-wave DFT calculation with PBE was carried out for a relaxed La2Ho4N crystal.

* formation energy (no corrections): -297 meV per atom
* magnetization: 0.00 μB per formula unit
* SG: I4/mmm

a = 9.681 Å, b = 9.681 Å, c = 9.681 Å
α = 151.28°, β = 151.28°, γ = 41.06°
Atoms (fractional coordinates):
La (0.175, 0.175, 0.000)
La (0.825, 0.825, 0.000)
Ho (0.000, 0.500, 0.500)
Ho (0.372, 0.372, 0.000)
Ho (0.500, 0.000, 0.500)
Ho (0.628, 0.628, 0.000)
N (0.500, 0.500, 0.000)

---

A plane-wave DFT calculation with PBE was carried out for a relaxed MnZnMo2 crystal.

* formation energy from the elements: 250 meV per atom
* magnetization: 0.00 μB per formula unit
* SG: R-3m

a = 9.091 Å, b = 9.091 Å, c = 9.091 Å
α = 17.22°, β = 17.22°, γ = 17.22°
Atoms (fractional coordinates):
Mn (0.000, 0.000, 0.000)
Zn (0.500, 0.500, 0.500)
Mo (0.255, 0.255, 0.255)
Mo (0.745, 0.745, 0.745)

---

A plane-wave DFT calculation with PBE was carried out for a relaxed Pr3ErSn crystal.

* formation energy from the elements: 37 meV per atom
* magnetization: 0.00 μB per formula unit
* SG: Ima2

a = 7.948 Å, b = 7.948 Å, c = 7.948 Å
α = 87.56°, β = 115.55°, γ = 127.68°
Atoms (fractional coordinates):
Pr (0.244, 0.026, 0.270)
Pr (0.244, 0.474, 0.718)
Pr (0.695, 0.521, 0.674)
Pr (0.756, 0.526, 0.282)
Pr (0.756, 0.974, 0.730)
Pr (0.848, 0.021, 0.326)
Er (0.313, 0.807, 0.006)
Er (0.801, 0.307, 0.994)
Sn (0.223, 0.025, 0.697)
Sn (0.328, 0.525, 0.303)

---

A plane-wave DFT calculation with PBE was carried out for a relaxed Ac3GaHg3 crystal.

* formation energy from the elements: -455 meV per atom
* magnetization: 0.00 μB per formula unit
* SG: C2/m

a = 6.425 Å, b = 6.425 Å, c = 16.648 Å
α = 108.14°, β = 108.14°, γ = 42.98°
Atoms (fractional coordinates):
Ac (0.038, 0.038, 0.392)
Ac (0.099, 0.099, 0.921)
Ac (0.247, 0.247, 0.235)
Ac (0.753, 0.753, 0.765)
Ac (0.901, 0.901, 0.079)
Ac (0.962, 0.962, 0.608)
Ga (0.259, 0.259, 0.613)
Ga (0.741, 0.741, 0.387)
Hg (0.355, 0.355, 0.458)
Hg (0.378, 0.378, 0.922)
Hg (0.473, 0.473, 0.763)
Hg (0.527, 0.527, 0.237)
Hg (0.622, 0.622, 0.078)
Hg (0.645, 0.645, 0.542)

---

A plane-wave DFT calculation with PBE was carried out for a relaxed Pa2SnGe2 crystal.

* formation energy from the elements: -312 meV per atom
* magnetization: 1.46 μB per formula unit
* SG: Immm

a = 5.744 Å, b = 5.744 Å, c = 5.744 Å
α = 136.80°, β = 110.85°, γ = 85.13°
Atoms (fractional coordinates):
Pa (0.215, 0.215, 0.000)
Pa (0.785, 0.785, 0.000)
Sn (0.500, 0.000, 0.500)
Ge (0.196, 0.500, 0.696)
Ge (0.804, 0.500, 0.304)

---

A plane-wave DFT calculation with PBE was carried out for a relaxed PmNdYTm crystal.

* offset from the most stable computed form: 0 meV/atom
* formation energy from the elements: 124 meV per atom
* magnetization: 0.00 μB per formula unit
* SG: Imm2

a = 6.941 Å, b = 6.941 Å, c = 6.941 Å
α = 148.87°, β = 129.35°, γ = 60.66°
Atoms (fractional coordinates):
Pm (0.000, 0.000, 0.000)
Nd (0.481, 0.481, 0.000)
Y (0.742, 0.242, 0.500)
Tm (0.240, 0.740, 0.500)

---

A plane-wave DFT calculation with PBE was carried out for a relaxed NpCo4Ag crystal.

* formation energy from the elements: 56 meV per atom
* magnetization: 1.75 μB per formula unit
* SG: F-43m

a = 4.931 Å, b = 4.931 Å, c = 4.931 Å
α = 60.00°, β = 60.00°, γ = 60.00°
Atoms (fractional coordinates):
Np (0.000, 0.000, 0.000)
Co (0.375, 0.375, 0.375)
Co (0.375, 0.375, 0.874)
Co (0.375, 0.874, 0.375)
Co (0.874, 0.375, 0.375)
Ag (0.750, 0.750, 0.750)

---

A plane-wave DFT calculation with PBE was carried out for a relaxed PrPuIn2 crystal.

* formation energy from the elements: -111 meV per atom
* magnetization: 6.00 μB per formula unit
* SG: R-3m

a = 11.159 Å, b = 11.159 Å, c = 11.159 Å
α = 17.95°, β = 17.95°, γ = 17.95°
Atoms (fractional coordinates):
Pr (0.000, 0.000, 0.000)
Pu (0.500, 0.500, 0.500)
In (0.249, 0.249, 0.249)
In (0.751, 0.751, 0.751)

---

A plane-wave DFT calculation with PBE was carried out for a relaxed GaTc crystal.

* offset from the most stable computed form: 161 meV/atom
* formation energy from the elements: -14 meV per atom
* magnetization: 0.00 μB per formula unit
* SG: Pm-3m

a = 3.065 Å, b = 3.065 Å, c = 3.065 Å
α = 90.00°, β = 90.00°, γ = 90.00°
Atoms (fractional coordinates):
Ga (0.000, 0.000, 0.000)
Tc (0.500, 0.500, 0.500)

---

A plane-wave DFT calculation with PBE was carried out for a relaxed YMg3Ru crystal.

* offset from the most stable computed form: 302 meV/atom
* formation energy from the elements: 156 meV per atom
* magnetization: 0.00 μB per formula unit
* SG: Pm-3m

a = 4.935 Å, b = 4.935 Å, c = 4.935 Å
α = 90.00°, β = 90.00°, γ = 90.00°
Atoms (fractional coordinates):
Y (0.000, 0.000, 0.000)
Mg (0.000, 0.500, 0.500)
Mg (0.500, 0.000, 0.500)
Mg (0.500, 0.500, 0.000)
Ru (0.500, 0.500, 0.500)

---

A plane-wave DFT calculation with PBE was carried out for a relaxed NaSrTl crystal.

* offset from the most stable computed form: 21 meV/atom
* formation energy from the elements: -193 meV per atom
* magnetization: 0.00 μB per formula unit
* SG: I4mm

a = 6.490 Å, b = 6.490 Å, c = 6.490 Å
α = 141.91°, β = 141.91°, γ = 54.96°
Atoms (fractional coordinates):
Na (0.000, 0.000, 0.000)
Sr (0.304, 0.304, 0.000)
Tl (0.635, 0.635, 0.000)

---

A plane-wave DFT calculation with PBE was carried out for a relaxed Li3BP crystal.

* offset from the most stable computed form: 0 meV/atom
* formation energy from the elements: 523 meV per atom
* magnetization: 0.96 μB per formula unit
* SG: Pm-3m

a = 4.164 Å, b = 4.164 Å, c = 4.164 Å
α = 90.00°, β = 90.00°, γ = 90.00°
Atoms (fractional coordinates):
Li (0.000, 0.000, 0.500)
Li (0.000, 0.500, 0.000)
Li (0.500, 0.000, 0.000)
B (0.000, 0.000, 0.000)
P (0.500, 0.500, 0.500)